DFT (GGA-PBE) results for crystalline TbDy3Y2Se6 at its relaxed geometry.

The space group is C2/m (No. 12) and the conventional cell measures 7.0374, 12.2724 and 7.0838 Å, with angles of 90.00, 109.46 and 90.00 degrees. Symmetry generates all atoms from Tb at (0.0000, 0.0000, 0.0000), Dy at (0.0000, 0.1664, 0.5000), Dy at (0.0000, 0.5000, 0.5000), Y at (0.0000, 0.3334, 0.0000), Se at (0.2492, 0.3331, 0.7485) and Se at (0.2500, 0.0000, 0.7486).

The calculation puts the density of states at the Fermi level at 0.4647 states/eV per atom. The value obtained for the total moment is 0.00 Bohr magnetons per cell. The calculation puts the electronic total energy at -6.116 eV per atom.

DFT (GGA-PBE) results for crystalline Tb3Dy4YSe8 at its relaxed geometry.

The space group is R-3m (No. 166, hexagonal axes) and the conventional cell measures 8.1671, 8.1671 and 20.0233 Å, with angles of 90.00, 90.00 and 120.00 degrees. Symmetry generates all atoms from Tb at (0.0000, 0.5000, 0.0000), Dy at (0.0000, 0.0000, 0.5000), Dy at (0.0000, 0.5000, 0.5000), Y at (0.0000, 0.0000, 0.0000), Se at (0.0000, 0.0000, 0.2493) and Se at (0.9996, 0.4998, 0.2494).

The calculation puts the density of states at the Fermi level at 0.6664 states/eV per atom. The value obtained for the total moment is 0.00 Bohr magnetons per cell. The calculation puts the electronic total energy at -5.920 eV per atom.

DFT (GGA-PBE) results for crystalline Tb4Dy3YSe8 at its relaxed geometry.

The space group is R-3m (No. 166, hexagonal axes) and the conventional cell measures 8.1708, 8.1708 and 20.0438 Å, with angles of 90.00, 90.00 and 120.00 degrees. Symmetry generates all atoms from Tb at (0.0000, 0.0000, 0.0000), Tb at (0.0000, 0.5000, 0.0000), Dy at (0.0000, 0.5000, 0.5000), Y at (0.0000, 0.0000, 0.5000), Se at (0.0000, 0.0000, 0.2493) and Se at (0.9996, 0.4998, 0.2494).

The calculation puts the density of states at the Fermi level at 0.6698 states/eV per atom. The value obtained for the total moment is 0.00 Bohr magnetons per cell. The calculation puts the electronic total energy at -5.925 eV per atom.

DFT (GGA-PBE) results for crystalline Tb3Dy3YSe8 at its relaxed geometry.

The space group is R-3m (No. 166, hexagonal axes) and the conventional cell measures 8.1406, 8.1406 and 19.9534 Å, with angles of 90.00, 90.00 and 120.00 degrees. Symmetry generates all atoms from Tb at (0.0000, 0.5000, 0.0000), Dy at (0.0000, 0.5000, 0.5000), Y at (0.0000, 0.0000, 0.5000), Se at (0.0000, 0.0000, 0.2494) and Se at (0.0053, 0.5027, 0.7493).

The calculation puts the density of states at the Fermi level at 0.4201 states/eV per atom. The value obtained for the total moment is 0.00 Bohr magnetons per cell. The calculation puts the electronic total energy at -5.978 eV per atom.

DFT (GGA-PBE) results for crystalline Tb2DyY3Se6 at its relaxed geometry.

The space group is C2/m (No. 12) and the conventional cell measures 7.0486, 12.2885 and 7.0906 Å, with angles of 90.00, 109.46 and 90.00 degrees. Symmetry generates all atoms from Tb at (0.0000, 0.1668, 0.0000), Dy at (0.0000, 0.5000, 0.0000), Y at (0.0000, 0.0000, 0.5000), Y at (0.0000, 0.3323, 0.5000), Se at (0.2484, 0.5000, 0.7493) and Se at (0.2493, 0.3340, 0.2499).

The calculation puts the density of states at the Fermi level at 0.4680 states/eV per atom. The value obtained for the total moment is 0.00 Bohr magnetons per cell. The calculation puts the electronic total energy at -6.280 eV per atom.

DFT (GGA-PBE) results for crystalline TbDyY2Se4 at its relaxed geometry.

The space group is P2/m (No. 10) and the conventional cell measures 7.0866, 4.0451 and 7.1164 Å, with angles of 90.00, 108.98 and 90.00 degrees. Symmetry generates all atoms from Tb at (0.0000, 0.0000, 0.0000), Dy at (0.0000, 0.5000, 0.5000), Y at (0.5000, 0.0000, 0.5000), Y at (0.5000, 0.5000, 0.0000), Se at (0.2495, 0.0000, 0.7489) and Se at (0.2501, 0.5000, 0.2510).

The calculation puts the density of states at the Fermi level at 0.6001 states/eV per atom. The value obtained for the total moment is 0.00 Bohr magnetons per cell. The calculation puts the electronic total energy at -6.273 eV per atom.